No. 1
Crystalline NaFeHg at its relaxed geometry. Source: the Open Quantum Materials Database, functional PBE.

Properties
Volume ... 22.71 Å³/atom
Space group ... No. 216
Energy relative to the lowest polymorph listed for this composition ... 0.0 meV per atom
Calculated total energy ... -7.96 eV per cell

POSCAR file:
```
NaFeHg
1.0
-3.229 0.229 3.247
-2.859 3.581 0.141
-4.414 -0.545 -1.114
Na Hg Fe
1 1 1
Direct
0.750 0.750 0.750
0.250 0.250 0.250
0.000 0.000 0.000
```

---

No. 2
Crystalline B2MoAs at its relaxed geometry. Source: the Open Quantum Materials Database, functional PBE.

Properties
Volume ... 12.14 Å³/atom
Space group ... No. 216
Calculated total energy ... -22.92 eV per cell

POSCAR file:
```
B2MoAs
1.0
0.000 2.896 2.896
2.896 0.000 2.896
2.896 2.896 0.000
Mo B As
1 2 1
Direct
0.750 0.750 0.750
0.250 0.250 0.250
0.500 0.500 0.500
0.000 0.000 0.000
```

---

No. 3
Crystalline NaZrCuS3 at its relaxed geometry. Source: the Open Quantum Materials Database, functional PBE.

Properties
Volume ... 20.12 Å³/atom
Space group ... No. 62
Calculated total energy ... -132.54 eV per cell

POSCAR file:
```
NaZrCuS3
1.0
-4.606 -6.051 10.604
1.883 -3.070 -0.934
7.827 3.210 5.231
Na Zr Cu S
4 4 4 12
Direct
0.729 0.250 0.458
0.771 0.750 0.958
0.229 0.250 0.042
0.271 0.750 0.542
0.011 0.250 0.325
0.511 0.250 0.175
0.489 0.750 0.825
0.989 0.750 0.675
0.992 0.250 0.907
0.492 0.250 0.593
0.508 0.750 0.407
0.008 0.750 0.093
0.364 0.250 0.753
0.899 0.250 0.118
0.864 0.250 0.747
0.136 0.750 0.253
0.399 0.250 0.382
0.603 0.250 0.935
0.897 0.750 0.435
0.636 0.750 0.247
0.103 0.250 0.565
0.101 0.750 0.882
0.601 0.750 0.618
0.397 0.750 0.065
```

---

No. 4
Crystalline ScAg2Pb at its relaxed geometry. Source: the Open Quantum Materials Database, functional PBE.

Properties
Volume ... 20.43 Å³/atom
Space group ... No. 216
Calculated total energy ... -16.30 eV per cell

POSCAR file:
```
ScAg2Pb
1.0
0.000 3.445 3.445
3.445 0.000 3.445
3.445 3.445 0.000
Ag Pb Sc
2 1 1
Direct
0.000 0.000 0.000
0.750 0.750 0.750
0.500 0.500 0.500
0.250 0.250 0.250
```

---

No. 5
Crystalline DyLu6Ir2Se2 at its relaxed geometry. Source: the Open Quantum Materials Database, functional PBE.

Properties
Volume ... 23.50 Å³/atom
Space group ... No. 44
Calculated total energy ... -68.42 eV per cell

POSCAR file:
```
DyLu6Ir2Se2
1.0
5.713 -5.297 -4.349
-4.664 -3.323 6.842
1.306 2.440 -8.482
Lu Ir Dy Se
6 2 1 2
Direct
0.880 0.737 0.143
0.595 0.737 0.857
0.290 0.107 0.183
0.924 0.107 0.817
0.269 0.894 0.375
0.518 0.894 0.625
0.667 0.407 0.260
0.147 0.407 0.740
0.978 0.478 0.500
0.639 0.139 0.500
0.239 0.239 0.000
```

---

No. 6
Crystalline LiTbPO at its relaxed geometry. Source: the Open Quantum Materials Database, functional PBE.

Properties
Volume ... 17.90 Å³/atom
Space group ... No. 129
Energy relative to the lowest polymorph listed for this composition ... 408.9 meV per atom
Calculated total energy ... -44.86 eV per cell

POSCAR file:
```
LiTbPO
1.0
-4.490 -3.225 -0.864
2.747 -4.392 2.115
-1.550 1.041 4.174
Tb Li O P
2 2 2 2
Direct
0.500 0.500 0.500
0.000 0.000 0.500
0.500 0.000 0.996
0.000 0.500 0.004
0.500 0.500 0.000
0.000 0.000 0.000
0.500 0.000 0.496
0.000 0.500 0.504
```

---

No. 7
Crystalline LiAlCd at its relaxed geometry. Source: the Open Quantum Materials Database, functional PBE.

Properties
Volume ... 20.72 Å³/atom
Space group ... No. 216
Energy relative to the lowest polymorph listed for this composition ... 0.0 meV per atom
Calculated total energy ... -6.32 eV per cell

POSCAR file:
```
LiAlCd
1.0
-2.261 1.553 3.500
-0.655 4.374 0.460
-4.066 1.710 -0.561
Li Cd Al
1 1 1
Direct
0.750 0.750 0.750
0.000 0.000 0.000
0.250 0.250 0.250
```

---

No. 8
Crystalline CsScCuTe3 at its relaxed geometry. Source: the Open Quantum Materials Database, functional PBE.

Properties
Volume ... 33.08 Å³/atom
Space group ... No. 63
Energy relative to the lowest polymorph listed for this composition ... 2.4 meV per atom
Calculated total energy ... -51.05 eV per cell

POSCAR file:
```
CsScCuTe3
1.0
-2.110 3.612 -8.085
1.713 -6.899 5.687
-10.636 -0.559 2.526
Te Sc Cs Cu
6 2 2 2
Direct
0.114 0.886 0.447
0.886 0.114 0.553
0.439 0.561 0.250
0.114 0.886 0.053
0.561 0.439 0.750
0.886 0.114 0.947
0.500 0.500 0.000
0.500 0.500 0.500
0.753 0.247 0.250
0.247 0.753 0.750
0.033 0.967 0.250
0.967 0.033 0.750
```

---

No. 9
Crystalline GdDyIn4Pt2 at its relaxed geometry. Source: the Open Quantum Materials Database, functional PBE.

Properties
Volume ... 22.30 Å³/atom
Space group ... No. 38
Calculated total energy ... -38.25 eV per cell

POSCAR file:
```
GdDyIn4Pt2
1.0
-0.446 3.087 -7.076
-5.503 -1.367 -0.249
-4.808 2.642 1.456
In Gd Pt Dy
4 1 2 1
Direct
0.701 0.863 0.863
0.199 0.138 0.138
0.299 0.863 0.863
0.801 0.138 0.138
0.500 0.572 0.572
0.500 0.283 0.283
0.000 0.717 0.717
0.000 0.428 0.428
```

---

No. 10
Crystalline GeTeAu at its relaxed geometry. Source: the Open Quantum Materials Database, functional PBE.

Properties
Volume ... 26.42 Å³/atom
Space group ... No. 62
Calculated total energy ... -44.34 eV per cell

POSCAR file:
```
GeTeAu
1.0
-4.411 2.492 3.475
1.161 -2.444 3.227
7.833 8.654 3.737
Au Te Ge
4 4 4
Direct
0.947 0.250 0.881
0.053 0.750 0.119
0.553 0.750 0.381
0.447 0.250 0.619
0.357 0.250 0.120
0.643 0.750 0.880
0.143 0.750 0.620
0.857 0.250 0.380
0.675 0.750 0.654
0.325 0.250 0.346
0.825 0.250 0.154
0.175 0.750 0.846
```

---

No. 11
Crystalline TlAg2Hg at its relaxed geometry. Source: the Open Quantum Materials Database, functional PBE.

Properties
Volume ... 21.44 Å³/atom
Space group ... No. 216
Calculated total energy ... -7.79 eV per cell

POSCAR file:
```
TlAg2Hg
1.0
0.000 3.500 3.500
3.500 0.000 3.500
3.500 3.500 0.000
Ag Tl Hg
2 1 1
Direct
0.000 0.000 0.000
0.750 0.750 0.750
0.500 0.500 0.500
0.250 0.250 0.250
```